No. 1
Here is a relaxed OsWS2Cl crystal from Alexandria. Energies are from GGA-PBE.

Computed properties:
Formation energy from raw total energies, eV/atom: 1.229
Theoretical density, g cm⁻³: 7.51
Distance to the lowest polymorph of the same formula, meV per atom: 0
Crystal system: tetragonal

Cell: 4.678 4.678 4.789 Å, 90.00 90.00 90.00°
Site moments in Bohr magnetons follow the coordinates.
Element x y z (fractional)
1 Os 0.500 0.500 0.500  3.25
2 S 0.500 0.000 0.000  0.07
3 S 0.000 0.500 0.000  0.07
4 W 0.000 0.000 0.000  0.12
5 Cl 0.000 0.000 0.500  0.07

No. 2
Here is a relaxed OsWS2Cl crystal from Alexandria. Energies are from GGA-PBE.

Computed properties:
Formation energy from raw total energies, eV/atom: 1.345
Theoretical density, g cm⁻³: 7.83
Distance to the lowest polymorph of the same formula, meV per atom: 116
Crystal system: tetragonal

Cell: 4.621 4.621 4.706 Å, 90.00 90.00 90.00°
Site moments in Bohr magnetons follow the coordinates.
Element x y z (fractional)
1 S 0.000 0.500 0.000  -0.16
2 S 0.500 0.000 0.000  -0.16
3 Os 0.000 0.000 0.000  -0.40
4 Cl 0.000 0.000 0.500  0.03
5 W 0.500 0.500 0.500  3.07

No. 3
Here is a relaxed OsWSCl2 crystal from Alexandria. Energies are from GGA-PBE.

Computed properties:
Formation energy from raw total energies, eV/atom: 1.382
Theoretical density, g cm⁻³: 7.43
Distance to the lowest polymorph of the same formula, meV per atom: 98
Crystal system: tetragonal

Cell: 4.860 4.860 4.511 Å, 90.00 90.00 90.00°
Site moments in Bohr magnetons follow the coordinates.
Element x y z (fractional)
1 Cl 0.000 0.500 0.000  0.01
2 Cl 0.500 0.000 0.000  0.01
3 W 0.500 0.500 0.500  3.40
4 Os 0.000 0.000 0.000  -0.20
5 S 0.000 0.000 0.500  -0.10